The following is a GGA+U calculation of crystalline NbFeO2F at its relaxed geometry, from Alexandria via LeMat-Bulk.

Computed properties:
space-group type: No. 123
VASP energy: -7.03 eV per atom
spin magnetization: 2.6 μB per cell

a = 4.0190 Å, b = 4.0190 Å, c = 4.1729 Å
α = 90.00°, β = 90.00°, γ = 90.00°
Each line ends with the local moment (μB).
Element x y z (fractional)
Nb  0.0000  0.0000  0.0000  -0.44
Fe  0.5000  0.5000  0.5000  2.96
O  0.0000  0.5000  0.0000  0.01
O  0.5000  0.0000  0.0000  0.01
F  0.0000  0.0000  0.5000  -0.01